Entry 1:
Material: TbPm4Sc2
Method: DFT, GGA-PBE
State: relaxed

abc: 3.563 15.136 16.963
angles: 90.00 90.14 90.00
Space group C2/c (No. 15)
Asymmetric unit:
Tb: 0.000 0.097 0.250 x4
Pm: 0.002 0.332 0.576 x8
Pm: 0.003 0.062 0.915 x8
Sc: 0.000 0.229 0.750 x4
Sc: 0.000 0.428 0.250 x4

Calculated values
mass density = 6.018 g/cm³
total DFT energy (no corrections) = -4.94 eV per atom
ΔE_f = 0.245 eV/atom



Entry 2:
Material: TbAlGaPt3
Method: DFT, GGA-PBE
State: relaxed

abc: 6.728 12.200 5.573
angles: 90.00 90.00 90.00
Space group Cmcm (No. 63)
Asymmetric unit:
Tb: 0.000 0.199 0.250 x4
Al: 0.000 0.450 0.250 x4
Ga: 0.000 0.136 0.750 x4
Pt: 0.000 0.336 0.750 x4
Pt: 0.208 0.000 0.000 x8

Calculated values
mass density = 12.208 g/cm³
total DFT energy (no corrections) = -5.73 eV per atom
ΔE_f = -0.808 eV/atom



Entry 3:
Material: KZr3Ga
Method: DFT, GGA-PBE
State: relaxed

abc: 4.891 4.891 4.891
angles: 90.00 90.00 90.00
Space group Pm-3m (No. 221)
Asymmetric unit:
K: 0.000 0.000 0.000 x1
Zr: 0.000 0.000 0.500 x3
Ga: 0.500 0.500 0.500 x1

Calculated values
mass density = 5.427 g/cm³
total DFT energy (no corrections) = -4.09 eV per atom
ΔE_f = 1.864 eV/atom



Entry 4:
Material: TmC4
Method: DFT, GGA-PBE
State: relaxed

abc: 4.460 4.460 4.460
angles: 90.00 90.00 90.00
Space group Pm-3m (No. 221)
Asymmetric unit:
Tm: 0.000 0.000 0.000 x1
C: 0.000 0.000 0.500 x3
C: 0.500 0.500 0.500 x1

Calculated values
mass density = 4.061 g/cm³
total DFT energy (no corrections) = -4.23 eV per atom
ΔE_f = 4.046 eV/atom



Entry 5:
Material: ErCuI2
Method: DFT, GGA-PBE
State: relaxed

abc: 4.0186 4.0186 27.4587
angles: 90.00 90.00 120.00
Space group R-3m (No. 166, hexagonal axes)
Asymmetric unit:
Er: 0.0000 0.0000 0.0000 x3
Cu: 0.0000 0.0000 0.5000 x3
I: 0.0000 0.0000 0.1085 x6

Calculated values
mass density = 6.287 g/cm³
total DFT energy (no corrections) = -3.09 eV per atom
formation energy (no corrections) = -0.15 eV per atom



Entry 6:
Material: YThPa
Method: DFT, GGA-PBE
State: relaxed

abc: 5.5199 5.5199 3.4149
angles: 90.00 90.00 120.00
Space group P-6m2 (No. 187)
Asymmetric unit:
Y: 0.0000 0.0000 0.0000 x1
Th: 0.6667 0.3333 0.5000 x1
Pa: 0.3333 0.6667 0.5000 x1

Calculated values
mass density = 10.172 g/cm³
total DFT energy (no corrections) = -7.56 eV per atom
ΔE_f = 0.237 eV/atom



Entry 7:
Material: CaSc2Se
Method: DFT, GGA-PBE
State: relaxed

abc: 3.7014 3.7014 31.9363
angles: 90.00 90.00 120.00
Space group R-3m (No. 166, hexagonal axes)
Asymmetric unit:
Ca: 0.0000 0.0000 0.0000 x3
Sc: 0.0000 0.0000 0.4236 x6
Se: 0.0000 0.0000 0.5000 x3

Calculated values
mass density = 2.747 g/cm³
total DFT energy (no corrections) = -4.61 eV per atom
formation energy (no corrections) = -0.07 eV per atom



Entry 8:
Material: In5Ag2Hg
Method: DFT, GGA-PBE
State: relaxed

abc: 4.034 13.885 14.312
angles: 90.00 90.00 90.00
Space group Cmcm (No. 63)
Asymmetric unit:
In: 0.000 0.019 0.109 x8
In: 0.000 0.347 0.001 x8
In: 0.000 0.419 0.250 x4
Ag: 0.000 0.199 0.646 x8
Hg: 0.000 0.180 0.250 x4

Calculated values
mass density = 8.206 g/cm³
total DFT energy (no corrections) = -2.42 eV per atom
ΔE_f = 0.043 eV/atom



Repeat the eighth record exactly.
Material: In5Ag2Hg
Method: DFT, GGA-PBE
State: relaxed

abc: 4.034 13.885 14.312
angles: 90.00 90.00 90.00
Space group Cmcm (No. 63)
Asymmetric unit:
In: 0.000 0.019 0.109 x8
In: 0.000 0.347 0.001 x8
In: 0.000 0.419 0.250 x4
Ag: 0.000 0.199 0.646 x8
Hg: 0.000 0.180 0.250 x4

Calculated values
mass density = 8.206 g/cm³
total DFT energy (no corrections) = -2.42 eV per atom
ΔE_f = 0.043 eV/atom